The following is a DFT calculation (PBE-GGA) of an optimized crystal structure of Rb4TlCu3Cl12.

Output
Magnetic moment = 0.006 μB/cell
Uncorrected energy = -126.3 eV per cell

Cell lengths 10.0977, 10.0977, 10.0977 Å; angles 90.00, 90.00, 90.00 degrees
Last column: nearest neighbours and their distance in Å.
Space group Im-3m (No. 229)
One atom of each set of equivalent atoms:
Rb (0.2500, 0.2500, 0.2500) [8 per cell]  12 Cl 3.57
Tl (0.0000, 0.0000, 0.0000) [2 per cell]  6 Cl 2.67
Cu (0.0000, 0.0000, 0.5000) [6 per cell]  6 Cl 2.38-2.52
Cl (0.0000, 0.0000, 0.2645) [12 per cell]  1 Cu 2.38
Cl (0.0000, 0.2500, 0.5000) [12 per cell]  2 Cu 2.52